## Zr3MnTc2 (PBE)

Data for a relaxed Zr3MnTc2 crystal.

Output
The calculated formation energy comes out at -0.258 eV/atom. As for the density of states at the Fermi level: 0.9571 states/eV/atom.

Unit cell a=3.3079 b=3.3079 c=9.8037 alpha=90.00 beta=90.00 gamma=90.00
Closest atoms and distances in Å follow each position.
Space group P4/mmm (No. 123)
Inequivalent atoms, fractional coordinates:
Zr 0.0000 0.0000 0.0000  8 Tc 2.88
Zr 0.0000 0.0000 0.3298  4 Tc 2.81, 4 Mn 2.87
Mn 0.5000 0.5000 0.5000  8 Zr 2.87
Tc 0.5000 0.5000 0.1714  8 Zr 2.81-2.88


## ZrMnTc2 (PBE)

Data for a relaxed ZrMnTc2 crystal.

Output
The calculated formation energy comes out at 0.233 eV/atom. As for the density of states at the Fermi level: 1.0769 states/eV/atom.

Unit cell a=2.8445 b=2.8445 c=27.7672 alpha=90.00 beta=90.00 gamma=120.00
Closest atoms and distances in Å follow each position.
Space group R3m (No. 160, hexagonal axes)
Inequivalent atoms, fractional coordinates:
Zr 0.0000 0.0000 0.0000  6 Zr 2.84, 3 Mn 2.94, 3 Tc 3.06
Mn 0.0000 0.0000 0.2457  3 Tc 2.73, 6 Mn 2.84, 3 Zr 2.94
Tc 0.0000 0.0000 0.5007  9 Tc 2.64-2.84, 3 Mn 2.73
Tc 0.0000 0.0000 0.7598  9 Tc 2.64-2.84


## Zr2MnTc (PBE)

Data for a relaxed Zr2MnTc crystal.

Output
The calculated formation energy comes out at 0.251 eV/atom. As for the density of states at the Fermi level: 1.2750 states/eV/atom.

Unit cell a=3.0316 b=3.0316 c=27.5941 alpha=90.00 beta=90.00 gamma=120.00
Closest atoms and distances in Å follow each position.
Space group R3m (No. 160, hexagonal axes)
Inequivalent atoms, fractional coordinates:
Zr 0.0000 0.0000 0.0000  3 Mn 2.92, 9 Zr 3.03-3.23
Zr 0.0000 0.0000 0.2351  3 Tc 2.90, 9 Zr 3.03-3.23
Mn 0.0000 0.0000 0.7515  3 Tc 2.54
Tc 0.0000 0.0000 0.4848  3 Mn 2.54


## Zr2MnTc (PBE)

Data for a relaxed Zr2MnTc crystal.

Output
The calculated formation energy comes out at 0.639 eV/atom. As for the density of states at the Fermi level: 1.0483 states/eV/atom.

Unit cell a=2.8898 b=4.9727 c=10.5759 alpha=90.00 beta=90.00 gamma=90.00
Closest atoms and distances in Å follow each position.
Space group Immm (No. 71)
Inequivalent atoms, fractional coordinates:
Zr 0.0000 0.0000 0.2489  1 Tc 2.63, 1 Mn 2.66, 6 Zr 2.88-2.89
Mn 0.0000 0.0000 0.5000  2 Zr 2.66, 4 Tc 2.88, 2 Mn 2.89
Tc 0.0000 0.0000 0.0000  2 Zr 2.63, 4 Mn 2.88, 2 Tc 2.89


## ZrMnTc2 (PBE)

Data for a relaxed ZrMnTc2 crystal.

Output
The calculated formation energy comes out at 0.022 eV/atom. As for the density of states at the Fermi level: 1.1119 states/eV/atom.

Unit cell a=3.0545 b=3.0545 c=6.9392 alpha=90.00 beta=90.00 gamma=90.00
Closest atoms and distances in Å follow each position.
Space group P4mm (No. 99)
Inequivalent atoms, fractional coordinates:
Zr 0.0000 0.0000 0.0000  4 Mn 2.87, 4 Tc 2.96, 4 Zr 3.05
Mn 0.5000 0.5000 0.2719  4 Tc 2.68, 4 Zr 2.87
Tc 0.0000 0.0000 0.4996  4 Tc 2.60, 4 Mn 2.68
Tc 0.5000 0.5000 0.7088  4 Tc 2.60


## ZrMn3Tc (PBE)

Data for a relaxed ZrMn3Tc crystal.

Output
For the excess energy over the best structure of this formula in the dataset, the calculation gives 6.11 eV/f.u. The calculated formation energy comes out at 2.128 eV/atom. As for the density of states at the Fermi level: 1.8386 states/eV/atom.

Unit cell a=4.4083 b=4.4083 c=4.4083 alpha=90.00 beta=90.00 gamma=90.00
Closest atoms and distances in Å follow each position.
Space group Pm-3m (No. 221)
Inequivalent atoms, fractional coordinates:
Zr 0.0000 0.0000 0.0000  6 Mn 2.20
Mn 0.0000 0.0000 0.5000  2 Zr 2.20
Tc 0.5000 0.5000 0.5000  12 Mn 3.12


## ZrMnTc (PBE)

Data for a relaxed ZrMnTc crystal.

Output
For the excess energy over the best structure of this formula in the dataset, the calculation gives 0.00 eV/f.u. The calculated formation energy comes out at -0.264 eV/atom. As for the density of states at the Fermi level: 0.9005 states/eV/atom.

Unit cell a=5.1345 b=5.1722 c=7.3029 alpha=90.00 beta=90.00 gamma=90.00
Closest atoms and distances in Å follow each position.
Space group Imma (No. 74)
Inequivalent atoms, fractional coordinates:
Zr 0.0000 0.2500 0.1245  6 Mn 3.01-3.03, 6 Tc 3.02-3.03, 4 Zr 3.15-3.16
Mn 0.0000 0.0000 0.5000  4 Tc 2.58, 2 Mn 2.59
Tc 0.2500 0.2500 0.7500  2 Tc 2.57, 4 Mn 2.58


## ZrMn3Tc (PBE)

Data for a relaxed ZrMn3Tc crystal.

Output
For the excess energy over the best structure of this formula in the dataset, the calculation gives 0.00 eV/f.u. The calculated formation energy comes out at 0.906 eV/atom. As for the density of states at the Fermi level: 0.8355 states/eV/atom.

Unit cell a=4.5123 b=4.5123 c=4.5123 alpha=90.00 beta=90.00 gamma=90.00
Closest atoms and distances in Å follow each position.
Space group Pm-3m (No. 221)
Inequivalent atoms, fractional coordinates:
Zr 0.0000 0.0000 0.0000  12 Mn 3.19
Mn 0.0000 0.5000 0.5000  2 Tc 2.26
Tc 0.5000 0.5000 0.5000  6 Mn 2.26


## Zr2MnTc (PBE)

Data for a relaxed Zr2MnTc crystal.

Output
The calculated formation energy comes out at 0.009 eV/atom. As for the density of states at the Fermi level: 1.3343 states/eV/atom.

Unit cell a=2.9722 b=2.9722 c=8.0884 alpha=90.00 beta=90.00 gamma=90.00
Closest atoms and distances in Å follow each position.
Space group P4mm (No. 99)
Inequivalent atoms, fractional coordinates:
Zr 0.0000 0.0000 0.0000  4 Tc 2.95, 4 Zr 2.97
Zr 0.5000 0.5000 0.3442  4 Mn 2.86, 4 Zr 2.97
Mn 0.0000 0.0000 0.5839  4 Tc 2.47
Tc 0.5000 0.5000 0.7442  4 Mn 2.47


## ZrMnTc2 (PBE)

Data for a relaxed ZrMnTc2 crystal.

Output
The calculated formation energy comes out at 0.082 eV/atom. As for the density of states at the Fermi level: 1.1538 states/eV/atom.

Unit cell a=2.8069 b=4.3798 c=5.1396 alpha=90.00 beta=98.11 gamma=90.00
Closest atoms and distances in Å follow each position.
Space group P2/m (No. 10)
Inequivalent atoms, fractional coordinates:
Zr 0.0000 0.0000 0.0000  4 Tc 2.73, 2 Mn 2.75, 2 Zr 2.81
Mn 0.5000 0.0000 0.5000  4 Tc 2.63, 2 Zr 2.75, 2 Mn 2.81
Tc 0.2577 0.5000 0.7334  5 Tc 2.62-2.92, 2 Mn 2.63, 2 Zr 2.73


## ZrMnTc (PBE)

Data for a relaxed ZrMnTc crystal.

Output
For the excess energy over the best structure of this formula in the dataset, the calculation gives 3.57 eV/f.u. The calculated formation energy comes out at 0.927 eV/atom. As for the density of states at the Fermi level: 1.2467 states/eV/atom.

Unit cell a=6.1828 b=6.1828 c=6.1828 alpha=90.00 beta=90.00 gamma=90.00
Closest atoms and distances in Å follow each position.
Space group F-43m (No. 216)
Inequivalent atoms, fractional coordinates:
Zr 0.0000 0.0000 0.0000  4 Mn 2.68, 4 Tc 2.68
Mn 0.2500 0.2500 0.7500  4 Zr 2.68
Tc 0.2500 0.2500 0.2500  4 Zr 2.68


## Zr2MnTc (PBE)

Data for a relaxed Zr2MnTc crystal.

Output
The calculated formation energy comes out at 0.159 eV/atom. As for the density of states at the Fermi level: 0.9933 states/eV/atom.

Unit cell a=3.2259 b=4.1555 c=5.5082 alpha=90.00 beta=90.00 gamma=90.00
Closest atoms and distances in Å follow each position.
Space group Pmm2 (No. 25)
Inequivalent atoms, fractional coordinates:
Zr 0.0000 0.0000 0.0000  2 Mn 2.63-2.88, 4 Tc 2.80
Zr 0.5000 0.5000 0.3401  2 Tc 2.67-2.84, 4 Mn 2.82
Mn 0.0000 0.0000 0.5229  6 Zr 2.63-2.88
Tc 0.5000 0.5000 0.8254  6 Zr 2.67-2.84


## Zr2MnTc (PBE)

Data for a relaxed Zr2MnTc crystal.

Output
The calculated formation energy comes out at 0.089 eV/atom. As for the density of states at the Fermi level: 1.0999 states/eV/atom.

Unit cell a=6.4903 b=6.4903 c=6.4903 alpha=90.00 beta=90.00 gamma=90.00
Closest atoms and distances in Å follow each position.
Space group F-43m (No. 216)
Inequivalent atoms, fractional coordinates:
Zr 0.0000 0.0000 0.0000  4 Zr 2.81, 4 Tc 2.81
Zr 0.2500 0.2500 0.2500  4 Zr 2.81, 4 Mn 2.81
Mn 0.0000 0.0000 0.5000  4 Zr 2.81, 4 Tc 2.81
Tc 0.2500 0.2500 0.7500  4 Zr 2.81, 4 Mn 2.81


## ZrMnTc2 (PBE)

Data for a relaxed ZrMnTc2 crystal.

Output
The calculated formation energy comes out at 0.266 eV/atom. As for the density of states at the Fermi level: 1.1440 states/eV/atom.

Unit cell a=2.7863 b=2.7863 c=27.6510 alpha=90.00 beta=90.00 gamma=120.00
Closest atoms and distances in Å follow each position.
Space group R-3m (No. 166, hexagonal axes)
Inequivalent atoms, fractional coordinates:
Zr 0.0000 0.0000 0.0000  6 Zr 2.79, 6 Tc 3.06
Mn 0.0000 0.0000 0.5000  6 Tc 2.57, 6 Mn 2.79
Tc 0.0000 0.0000 0.2390  3 Mn 2.57, 6 Tc 2.79